Entry 1:
VASP calculation (PBE) on a relaxed DyReF crystal.

Geometry as extended XYZ:
```
6
Lattice="3.183 0.000 0.000 0.000 3.183 0.000 0.000 0.000 9.435" Properties=species:S:1:pos:R:3 pbc="T T T"
Dy 0.000 1.592 1.862
Re 1.592 0.000 4.064
Dy 1.592 0.000 7.573
F 1.592 0.000 0.645
F 0.000 1.592 8.791
Re 0.000 1.592 5.372
```

Formation energy from raw total energies in eV per formula unit: -4.79
Symmetry: No. 129
V in Å³/atom: 15.94
Raw total energy in eV per formula unit: -23.71

***

Entry 2:
VASP calculation (PBE) on a relaxed Dy2RhF crystal.

Geometry as extended XYZ:
```
4
Lattice="3.903 0.000 0.000 1.951 3.380 0.000 1.951 1.127 6.289" Properties=species:S:1:pos:R:3 pbc="T T T"
Rh 3.903 2.253 3.144
Dy 5.854 3.380 4.704
Dy 1.951 1.127 1.584
F 0.000 0.000 0.000
```

Formation energy from raw total energies in eV per formula unit: -6.38
Symmetry: No. 166
V in Å³/atom: 20.74
Raw total energy in eV per formula unit: -24.81

***

Entry 3:
VASP calculation (PBE) on a relaxed DyRh2F8 crystal.

Geometry as extended XYZ:
```
11
Lattice="4.240 0.000 0.001 -0.001 5.952 -3.439 0.003 -0.010 6.864" Properties=species:S:1:pos:R:3 pbc="T T T"
F 3.142 4.998 -1.796
F 1.099 4.044 3.420
F 0.944 3.964 -0.009
F 1.099 0.944 1.645
F 3.142 1.898 0.007
Rh 1.197 1.978 3.434
F 3.142 4.998 1.782
Dy 0.003 -0.010 6.864
F 1.099 0.943 5.223
F 3.297 1.978 3.435
Rh 3.044 3.964 -0.008
```

Formation energy from raw total energies in eV per formula unit: -23.05
Symmetry: No. 2
V in Å³/atom: 15.73
Raw total energy in eV per formula unit: -57.33